4
Lattice="-5.405 -1.343 -1.764 -3.518 -4.166 -2.097 -2.266 -2.158 5.458" Properties=species:S:1:pos:R:3 comment="GGA-PBE SrSc3, relaxed" sg=C2/m dos_ef_per_ev_atom=2.43 ef_ev_per_atom=0.30 pbc="T T T"
Sc -8.387 -5.718 0.945
Sc -2.802 -1.950 0.652
Sc -5.595 -3.834 0.799
Sr 0.000 0.000 0.000